(1)
# MgCrH2Cl (GGA-PBE, optimized geometry)
data_MgCrH2Cl
_chemical_formula_sum 'Mg1 Cr1 H2 Cl1'
_symmetry_space_group_name_H-M 'P 4/m m m'
_symmetry_Int_Tables_number 123
_symmetry_space_group_name_Hall '-P 4 2'
_cell_length_a 3.6589
_cell_length_b 3.6589
_cell_length_c 6.8166
_cell_angle_alpha 90.00
_cell_angle_beta 90.00
_cell_angle_gamma 90.00
loop_
_atom_site_label
_atom_site_type_symbol
_atom_site_fract_x
_atom_site_fract_y
_atom_site_fract_z
_atom_site_occupancy
Mg1 Mg 0.0000 0.0000 0.0000 1
Cr1 Cr 0.0000 0.0000 0.5000 1
H1 H 0.0000 0.5000 0.0000 1
Cl1 Cl 0.5000 0.5000 0.5000 1
# Energy = -3.844 eV per atom
# Size of the total moment = 0.99 μB per atom

(2)
# CrMoHCl2 (GGA-PBE, optimized geometry)
data_CrMoHCl2
_chemical_formula_sum 'Cr1 Mo1 H1 Cl2'
_symmetry_space_group_name_H-M 'P 4/m m m'
_symmetry_Int_Tables_number 123
_symmetry_space_group_name_Hall '-P 4 2'
_cell_length_a 4.7603
_cell_length_b 4.7603
_cell_length_c 3.2515
_cell_angle_alpha 90.00
_cell_angle_beta 90.00
_cell_angle_gamma 90.00
loop_
_atom_site_label
_atom_site_type_symbol
_atom_site_fract_x
_atom_site_fract_y
_atom_site_fract_z
_atom_site_occupancy
Cr1 Cr 0.0000 0.0000 0.0000 1
Mo1 Mo 0.5000 0.5000 0.0000 1
H1 H 0.0000 0.0000 0.5000 1
Cl1 Cl 0.0000 0.5000 0.5000 1
# Energy = -4.777 eV per atom
# Size of the total moment = 1.27 μB per atom